(1)
Here is a relaxed BeZnGaPt2 crystal from the Alexandria database. Energies are from PBE.

a = 4.2893 Å, b = 4.2893 Å, c = 4.1940 Å
α = 90.00°, β = 90.00°, γ = 90.00°
Closest atoms and distances in Å follow each position.
Space group P4/mmm (No. 123)
Unique sites:
Be 0.0000 0.0000 0.0000 [1 per cell]  2 Ga 2.10, 4 Pt 2.14
Zn 0.5000 0.5000 0.5000 [1 per cell]  8 Pt 3.00, 4 Ga 3.03
Ga 0.0000 0.0000 0.5000 [1 per cell]  2 Be 2.10
Pt 0.0000 0.5000 0.0000 [2 per cell]  2 Be 2.14

calculated formation energy	10	meV/atom

(2)
Here is a relaxed Na2Hg6Au crystal from the Alexandria database. Energies are from PBE.

a = 3.2991 Å, b = 5.2194 Å, c = 25.9375 Å
α = 90.00°, β = 90.00°, γ = 90.00°
Closest atoms and distances in Å follow each position.
Space group Amm2 (No. 38)
Unique sites:
Na 0.0000 0.0000 0.0000 [2 per cell]  8 Hg 3.17-3.48, 2 Na 3.30, 4 Au 3.36
Na 0.0000 0.0000 0.3359 [2 per cell]  10 Hg 3.14-3.34, 2 Na 3.30
Hg 0.0000 0.0000 0.6507 [2 per cell]  7 Hg 3.06-3.32, 2 Au 3.07
Hg 0.0000 0.0000 0.7688 [2 per cell]  9 Hg 3.06-3.37, 2 Na 3.14
Hg 0.5000 0.0000 0.1042 [2 per cell]  2 Au 2.95, 3 Hg 3.11-3.30, 2 Na 3.17
Hg 0.5000 0.0000 0.2240 [2 per cell]  7 Hg 3.11-3.30, 2 Na 3.34
Hg 0.5000 0.0000 0.4434 [2 per cell]  1 Au 2.79, 2 Hg 3.06
Hg 0.5000 0.0000 0.8820 [2 per cell]  6 Hg 3.06-3.37, 4 Na 3.31
Au 0.5000 0.0000 0.5510 [2 per cell]  5 Hg 2.79-3.07

relative energy among the computed polymorphs	7	meV/atom
calculated formation energy	-135	meV/atom

(3)
Here is a relaxed CaTeAu2 crystal from the Alexandria database. Energies are from PBE.

a = 4.5988 Å, b = 4.5988 Å, c = 16.6705 Å
α = 90.00°, β = 90.00°, γ = 120.00°
Closest atoms and distances in Å follow each position.
Space group R3m (No. 160, hexagonal axes)
Unique sites:
Ca 0.0000 0.0000 0.0000 [3 per cell]  3 Au 3.03, 3 Te 3.27
Te 0.0000 0.0000 0.7814 [3 per cell]  3 Au 2.91
Au 0.0000 0.0000 0.2462 [3 per cell]  3 Au 2.84, 3 Ca 3.03
Au 0.0000 0.0000 0.5199 [3 per cell]  3 Au 2.84, 3 Te 2.91

relative energy among the computed polymorphs	59	meV/atom

(4)
Here is a relaxed YScW2Se crystal from the Alexandria database. Energies are from PBE.

a = 4.7259 Å, b = 4.7259 Å, c = 4.9181 Å
α = 90.00°, β = 90.00°, γ = 90.00°
Closest atoms and distances in Å follow each position.
Space group P4/mmm (No. 123)
Unique sites:
Y 0.0000 0.0000 0.0000 [1 per cell]  4 Sc 3.34, 8 W 3.41
Sc 0.5000 0.5000 0.0000 [1 per cell]  2 Se 2.46
W 0.0000 0.5000 0.5000 [2 per cell]  2 Se 2.36
Se 0.5000 0.5000 0.5000 [1 per cell]  4 W 2.36, 2 Sc 2.46

(5)
Here is a relaxed LaTmPu crystal from the Alexandria database. Energies are from PBE.

a = 3.3426 Å, b = 3.3426 Å, c = 29.6727 Å
α = 90.00°, β = 90.00°, γ = 90.00°
Closest atoms and distances in Å follow each position.
Space group I4/mmm (No. 139)
Unique sites:
La 0.0000 0.0000 0.0531 [4 per cell]  5 La 3.15-3.34
Tm 0.0000 0.0000 0.3478 [4 per cell]  5 Pu 3.30-3.45, 4 Tm 3.34
Pu 0.0000 0.0000 0.2367 [4 per cell]  4 Pu 2.49

relative energy among the computed polymorphs	122	meV/atom
calculated formation energy	246	meV/atom

(6)
Here is a relaxed Tb8DyY3 crystal from the Alexandria database. Energies are from PBE.

a = 7.7159 Å, b = 7.7159 Å, c = 15.4347 Å
α = 90.00°, β = 90.00°, γ = 90.00°
Closest atoms and distances in Å follow each position.
Space group I4/mmm (No. 139)
Unique sites:
Tb 0.2489 0.2489 0.1245 [16 per cell]  1 Dy 3.33, 3 Y 3.35
Dy 0.0000 0.0000 0.0000 [2 per cell]  8 Tb 3.33
Y 0.0000 0.0000 0.5000 [2 per cell]  8 Tb 3.35
Y 0.0000 0.5000 0.2500 [4 per cell]  8 Tb 3.35

calculated formation energy	747	meV/atom

Raw total energy in hartree per atom, matching the order above: -0.1474; -0.0365; -0.1268; -0.2880; -0.2817; -0.1595
Spin magnetization in Bohr magnetons per cell, matching the order above: 0.00; 0.00; 0.00; 0.00; 0.00; 0.00